Here is Sm7InGe5 after structural relaxation from Alexandria. Energies are from PBE.

Results
**Symmetry**: Imm2 (44)
**Energy of formation from the pure elements**: -0.519 eV/atom

```
13
Lattice="-3.059 5.558 5.061 3.059 -5.558 5.061 3.059 5.558 -5.061" Properties=species:S:1:pos:R:3 pbc="T T T"
Sm 0.000 0.000 0.000
Sm 3.059 1.970 1.609
Sm 0.000 0.000 3.786
Sm 0.000 3.718 1.054
Sm 0.000 7.397 1.054
Sm 0.000 5.558 3.628
Sm 0.000 3.588 6.670
In 0.000 0.000 6.929
Ge 1.723 2.653 -1.113
Ge 4.394 2.653 -1.113
Ge 3.059 0.000 3.778
Ge -1.335 2.905 3.948
Ge 1.335 2.905 3.948
```